Record 1
A plane-wave DFT calculation with PBE was carried out for a geometry-optimized TaPdO2 structure.

The structure in POSCAR format:
```
TaPdO2
1.0
0.000 2.797 2.797
2.797 0.000 2.797
2.797 2.797 0.000
Pd O Ta
1 2 1
direct
0.000 0.000 0.000
0.750 0.750 0.750
0.250 0.250 0.250
0.500 0.500 0.500
```

Results
- offset from the most stable computed form (eV per atom) = 0.817
- formation energy from raw total energies (eV/f.u.) = -2.6

=====

Record 2
A plane-wave DFT calculation with PBE was carried out for a geometry-optimized Ti3WC4 structure.

The structure in POSCAR format:
```
Ti3WC4
1.0
3.969 0.003 -1.759
-0.783 3.891 -1.759
-0.021 -0.026 5.310
C Ti W
4 3 1
direct
0.000 0.500 0.000
0.749 0.749 0.498
0.500 0.000 0.000
0.251 0.251 0.502
0.750 0.250 0.500
0.250 0.750 0.500
0.500 0.500 0.000
0.000 0.000 0.000
```

Results
- offset from the most stable computed form (eV per atom) = 0.000
- energy of formation from the pure elements (kJ per mole of atoms) = -62.6

=====

Record 3
A plane-wave DFT calculation with PBE was carried out for a geometry-optimized Pm2SiPd4Au2 structure.

The structure in POSCAR format:
```
Pm2SiPd4Au2
1.0
6.314 -0.125 -0.180
-3.140 5.479 0.180
-3.140 -1.757 5.193
Au Pm Pd Si
2 2 4 1
direct
0.000 0.724 0.724
0.000 0.276 0.276
0.500 0.250 0.750
0.500 0.750 0.250
0.000 0.269 0.731
0.462 0.731 0.731
0.538 0.269 0.269
0.000 0.731 0.269
0.000 0.000 0.000
```

Results
- formation energy from raw total energies (eV/f.u.) = -6.5

=====

Record 4
A plane-wave DFT calculation with PBE was carried out for a geometry-optimized CdAuBr2 structure.

The structure in POSCAR format:
```
CdAuBr2
1.0
3.987 0.000 0.000
0.000 5.623 0.186
0.000 2.901 4.820
Br Cd Au
2 1 1
direct
0.500 0.267 0.266
0.000 0.953 0.953
0.000 0.541 0.541
0.500 0.740 0.740
```

Results
- offset from the most stable computed form (eV per atom) = 0.000
- formation energy from raw total energies (eV/f.u.) = -1.1